Entry 1:
First-principles (PBE-GGA) data for a relaxed HgPbSe4 crystal, as listed in the Alexandria database.

It has space group F-43m (No. 216), with a = 8.3816 Å, b = 8.3816 Å, c = 8.3816 Å, α = 90.00°, β = 90.00° and γ = 90.00°. The inequivalent atoms are Hg at (0.0000, 0.0000, 0.0000), Pb at (0.2500, 0.2500, 0.7500) and Se at (0.1248, 0.1248, 0.3752).

The density of states at the Fermi level comes out at 0.138 states/eV per atom. Its crystal system is cubic. The magnetic moment comes out at 0.00 μB per formula unit. As for the uncorrected formation energy: 0.2281 eV per atom.

***

Entry 2:
First-principles (PBE-GGA) data for a relaxed DyErZnOs crystal, as listed in the Alexandria database.

It has space group F-43m (No. 216), with a = 6.9087 Å, b = 6.9087 Å, c = 6.9087 Å, α = 90.00°, β = 90.00° and γ = 90.00°. The inequivalent atoms are Dy at (0.0000, 0.0000, 0.0000), Er at (0.0000, 0.0000, 0.5000), Zn at (0.2500, 0.2500, 0.7500) and Os at (0.2500, 0.2500, 0.2500).

The value obtained for the formation energy is -298 meV/atom. The density of states at the Fermi level comes out at 0.730 states/eV per atom. Its crystal system is cubic. The magnetic moment comes out at 0.00 μB per formula unit.

***

Entry 3:
First-principles (PBE-GGA) data for a relaxed SrAcNiAg crystal, as listed in the Alexandria database.

It has space group F-43m (No. 216), with a = 7.6151 Å, b = 7.6151 Å, c = 7.6151 Å, α = 90.00°, β = 90.00° and γ = 90.00°. The inequivalent atoms are Sr at (0.0000, 0.0000, 0.0000), Ac at (0.0000, 0.0000, 0.5000), Ni at (0.2500, 0.2500, 0.7500) and Ag at (0.2500, 0.2500, 0.2500).

The value obtained for the formation energy is -86 meV/atom. The density of states at the Fermi level comes out at 1.030 states/eV per atom. Its crystal system is cubic. The magnetic moment comes out at 0.00 μB per formula unit.

***

Density? In order: 8.163; 11.792; 7.238 Mg/m³.